# 1
An optimized crystal structure of NaNdZn2Au2. Source: Alexandria via LeMat-Bulk, functional PBE.

```
data_NaNdZn2Au2
_symmetry_space_group_name_H-M 'P -3 m 1'
_symmetry_Int_Tables_number 164
_symmetry_space_group_name_Hall '-P 3 2"'
_cell_length_a 4.6002
_cell_length_b 4.6002
_cell_length_c 6.9442
_cell_angle_alpha 90.00
_cell_angle_beta 90.00
_cell_angle_gamma 120.00
loop_
_atom_site_label
_atom_site_fract_x
_atom_site_fract_y
_atom_site_fract_z
_atom_site_occupancy
Na1 0.0000 0.0000 0.0000 1
Nd1 0.0000 0.0000 0.5000 1
Zn1 0.3333 0.6667 0.7841 1
Au1 0.3333 0.6667 0.2403 1
```

Results
- Formation energy: -0.449 eV/atom
- Crystal system: trigonal

***

# 2
An optimized crystal structure of TaNbI2. Source: Alexandria via LeMat-Bulk, functional PBE.

```
data_TaNbI2
_symmetry_space_group_name_H-M 'F m -3 m'
_symmetry_Int_Tables_number 225
_symmetry_space_group_name_Hall '-F 4 2 3'
_cell_length_a 6.8927
_cell_length_b 6.8927
_cell_length_c 6.8927
_cell_angle_alpha 90.00
_cell_angle_beta 90.00
_cell_angle_gamma 90.00
loop_
_atom_site_label
_atom_site_fract_x
_atom_site_fract_y
_atom_site_fract_z
_atom_site_occupancy
Ta1 0.0000 0.0000 0.0000 1
Nb1 0.0000 0.0000 0.5000 1
I1 0.2500 0.2500 0.2500 1
```

Results
- Excess energy over the best structure of this formula in the dataset: 0 meV/atom
- Crystal system: cubic
- Formation energy (no corrections): 844 meV per atom

***

# 3
An optimized crystal structure of Li2MnCl. Source: Alexandria via LeMat-Bulk, functional PBE.

```
data_Li2MnCl
_symmetry_space_group_name_H-M 'I 4/m m m'
_symmetry_Int_Tables_number 139
_symmetry_space_group_name_Hall '-I 4 2'
_cell_length_a 3.9135
_cell_length_b 3.9135
_cell_length_c 9.8580
_cell_angle_alpha 90.00
_cell_angle_beta 90.00
_cell_angle_gamma 90.00
loop_
_atom_site_label
_atom_site_fract_x
_atom_site_fract_y
_atom_site_fract_z
_atom_site_occupancy
Li1 0.0000 0.5000 0.2500 1
Mn1 0.0000 0.0000 0.0000 1
Cl1 0.0000 0.0000 0.5000 1
```

Results
- Excess energy over the best structure of this formula in the dataset: 521 meV/atom
- Crystal system: tetragonal
- Formation energy (no corrections): 77 meV per atom

***

# 4
An optimized crystal structure of AcTb2Te5. Source: Alexandria via LeMat-Bulk, functional PBE.

```
data_AcTb2Te5
_symmetry_space_group_name_H-M 'I 4/m c m'
_symmetry_Int_Tables_number 140
_symmetry_space_group_name_Hall '-I 4 2c'
_cell_length_a 8.3251
_cell_length_b 8.3251
_cell_length_c 14.4281
_cell_angle_alpha 90.00
_cell_angle_beta 90.00
_cell_angle_gamma 90.00
loop_
_atom_site_label
_atom_site_fract_x
_atom_site_fract_y
_atom_site_fract_z
_atom_site_occupancy
Ac1 0.0000 0.0000 0.2500 1
Tb1 0.1522 0.3478 0.0000 1
Te1 0.0000 0.0000 0.0000 1
Te2 0.1535 0.3465 0.3560 1
```

Results
- Crystal system: tetragonal
- Formation energy (no corrections): -1323 meV per atom

***

# 5
An optimized crystal structure of CeAu2I8. Source: Alexandria via LeMat-Bulk, functional PBE.

```
data_CeAu2I8
_symmetry_space_group_name_H-M 'P -3 m 1'
_symmetry_Int_Tables_number 164
_symmetry_space_group_name_Hall '-P 3 2"'
_cell_length_a 8.4677
_cell_length_b 8.4677
_cell_length_c 7.8903
_cell_angle_alpha 90.00
_cell_angle_beta 90.00
_cell_angle_gamma 120.00
loop_
_atom_site_label
_atom_site_fract_x
_atom_site_fract_y
_atom_site_fract_z
_atom_site_occupancy
Ce1 0.0000 0.0000 0.0000 1
Au1 0.3333 0.6667 0.4011 1
I1 0.1598 0.3196 0.2438 1
I2 0.3333 0.6667 0.7320 1
```

Results
- Excess energy over the best structure of this formula in the dataset: 191 meV/atom
- Crystal system: trigonal
- Formation energy (no corrections): -338 meV per atom

***

# 6
An optimized crystal structure of Tc3PRu. Source: Alexandria via LeMat-Bulk, functional PBE.

```
data_Tc3PRu
_symmetry_space_group_name_H-M 'P m -3 m'
_symmetry_Int_Tables_number 221
_symmetry_space_group_name_Hall '-P 4 2 3'
_cell_length_a 4.6313
_cell_length_b 4.6313
_cell_length_c 4.6313
_cell_angle_alpha 90.00
_cell_angle_beta 90.00
_cell_angle_gamma 90.00
loop_
_atom_site_label
_atom_site_fract_x
_atom_site_fract_y
_atom_site_fract_z
_atom_site_occupancy
Tc1 0.0000 0.0000 0.5000 1
P1 0.5000 0.5000 0.5000 1
Ru1 0.0000 0.0000 0.0000 1
```

Results
- Formation energy: 1.941 eV/atom
- Excess energy over the best structure of this formula in the dataset: 1228 meV/atom
- Crystal system: cubic

***

# 7
An optimized crystal structure of LiTeAs3. Source: Alexandria via LeMat-Bulk, functional PBE.

```
data_LiTeAs3
_symmetry_space_group_name_H-M 'P m -3 m'
_symmetry_Int_Tables_number 221
_symmetry_space_group_name_Hall '-P 4 2 3'
_cell_length_a 4.6977
_cell_length_b 4.6977
_cell_length_c 4.6977
_cell_angle_alpha 90.00
_cell_angle_beta 90.00
_cell_angle_gamma 90.00
loop_
_atom_site_label
_atom_site_fract_x
_atom_site_fract_y
_atom_site_fract_z
_atom_site_occupancy
Li1 0.0000 0.0000 0.0000 1
Te1 0.5000 0.5000 0.5000 1
As1 0.0000 0.0000 0.5000 1
```

Results
- Excess energy over the best structure of this formula in the dataset: 0 meV/atom
- Crystal system: cubic
- Formation energy (no corrections): 506 meV per atom

***

# 8
An optimized crystal structure of TeP2ICl. Source: Alexandria via LeMat-Bulk, functional PBE.

```
data_TeP2ICl
_symmetry_space_group_name_H-M 'P 4/m m m'
_symmetry_Int_Tables_number 123
_symmetry_space_group_name_Hall '-P 4 2'
_cell_length_a 5.2599
_cell_length_b 5.2599
_cell_length_c 5.1271
_cell_angle_alpha 90.00
_cell_angle_beta 90.00
_cell_angle_gamma 90.00
loop_
_atom_site_label
_atom_site_fract_x
_atom_site_fract_y
_atom_site_fract_z
_atom_site_occupancy
Te1 0.0000 0.0000 0.0000 1
P1 0.0000 0.5000 0.0000 1
I1 0.5000 0.5000 0.5000 1
Cl1 0.0000 0.0000 0.5000 1
```

Results
- Excess energy over the best structure of this formula in the dataset: 0 meV/atom
- Crystal system: tetragonal
- Formation energy (no corrections): 812 meV per atom

***

Repeat the first record exactly.
An optimized crystal structure of NaNdZn2Au2. Source: Alexandria via LeMat-Bulk, functional PBE.

```
data_NaNdZn2Au2
_symmetry_space_group_name_H-M 'P -3 m 1'
_symmetry_Int_Tables_number 164
_symmetry_space_group_name_Hall '-P 3 2"'
_cell_length_a 4.6002
_cell_length_b 4.6002
_cell_length_c 6.9442
_cell_angle_alpha 90.00
_cell_angle_beta 90.00
_cell_angle_gamma 120.00
loop_
_atom_site_label
_atom_site_fract_x
_atom_site_fract_y
_atom_site_fract_z
_atom_site_occupancy
Na1 0.0000 0.0000 0.0000 1
Nd1 0.0000 0.0000 0.5000 1
Zn1 0.3333 0.6667 0.7841 1
Au1 0.3333 0.6667 0.2403 1
```

Results
- Formation energy: -0.449 eV/atom
- Crystal system: trigonal